ZnIrSe2 after structural relaxation. Source: Alexandria, functional GGA-PBE.

Calculated values
Its crystal system is monoclinic. The density of states at the Fermi level is 0.9 states/eV/cell. For the formation energy without anion corrections, the calculation gives -0.121 eV/atom. Its total magnetization is 0.0 Bohr magnetons per cell.

a = 3.762 Å, b = 3.762 Å, c = 6.619 Å
α = 105.29°, β = 105.29°, γ = 60.31°
Fractional positions:
Zn 0.000 0.000 0.000
Ir 0.500 0.500 0.500
Se 0.229 0.229 0.708
Se 0.771 0.771 0.292



ZnIr2Se after structural relaxation. Source: Alexandria, functional GGA-PBE.

Calculated values
The calculation puts the relative energy among the computed polymorphs at 263.7 meV/atom. Its crystal system is cubic. The density of states at the Fermi level is 4.2 states/eV/cell. For the formation energy without anion corrections, the calculation gives 0.347 eV/atom. Its total magnetization is 0.5 Bohr magnetons per cell.

a = 4.404 Å, b = 4.404 Å, c = 4.404 Å
α = 60.00°, β = 60.00°, γ = 60.00°
Fractional positions:
Zn 0.000 0.000 0.000
Ir 0.250 0.250 0.250
Ir 0.750 0.750 0.750
Se 0.500 0.500 0.500



ZnIr2Se after structural relaxation. Source: Alexandria, functional GGA-PBE.

Calculated values
The calculation puts the relative energy among the computed polymorphs at 205.5 meV/atom. Its crystal system is tetragonal. The density of states at the Fermi level is 1.5 states/eV/cell. For the formation energy without anion corrections, the calculation gives 0.289 eV/atom. Its total magnetization is 0.0 Bohr magnetons per cell.

a = 4.583 Å, b = 4.583 Å, c = 4.583 Å
α = 126.48°, β = 126.48°, γ = 79.10°
Fractional positions:
Zn 0.000 0.000 0.000
Ir 0.250 0.750 0.500
Ir 0.750 0.250 0.500
Se 0.500 0.500 0.000



ZnIrSe2 after structural relaxation. Source: Alexandria, functional GGA-PBE.

Calculated values
Its crystal system is tetragonal. The density of states at the Fermi level is 2.2 states/eV/cell. For the formation energy without anion corrections, the calculation gives 0.195 eV/atom. Its total magnetization is 0.0 Bohr magnetons per cell.

a = 4.575 Å, b = 4.575 Å, c = 4.575 Å
α = 111.33°, β = 111.33°, γ = 105.82°
Fractional positions:
Zn 0.000 0.000 0.000
Ir 0.500 0.500 0.000
Se 0.000 0.500 0.500
Se 0.500 0.000 0.500



ZnIr2Se after structural relaxation. Source: Alexandria, functional GGA-PBE.

Calculated values
The calculation puts the relative energy among the computed polymorphs at 76.9 meV/atom. Its crystal system is monoclinic. The density of states at the Fermi level is 3.2 states/eV/cell. For the formation energy without anion corrections, the calculation gives 0.160 eV/atom. Its total magnetization is 0.0 Bohr magnetons per cell.

a = 4.509 Å, b = 4.509 Å, c = 4.947 Å
α = 101.12°, β = 101.12°, γ = 38.03°
Fractional positions:
Zn 0.000 0.000 0.000
Ir 0.253 0.253 0.750
Ir 0.747 0.747 0.250
Se 0.500 0.500 0.500



ZnIr2Se after structural relaxation. Source: Alexandria, functional GGA-PBE.

Calculated values
The calculation puts the relative energy among the computed polymorphs at 90.9 meV/atom. Its crystal system is orthorhombic. The density of states at the Fermi level is 2.5 states/eV/cell. For the formation energy without anion corrections, the calculation gives 0.175 eV/atom. Its total magnetization is 0.0 Bohr magnetons per cell.

a = 2.909 Å, b = 3.920 Å, c = 5.460 Å
α = 90.00°, β = 90.00°, γ = 90.00°
Fractional positions:
Zn 0.000 0.000 0.000
Ir 0.000 0.000 0.488
Ir 0.500 0.500 0.196
Se 0.500 0.500 0.655



ZnIr2Se after structural relaxation. Source: Alexandria, functional GGA-PBE.

Calculated values
The calculation puts the relative energy among the computed polymorphs at 105.7 meV/atom. Its crystal system is tetragonal. The density of states at the Fermi level is 3.3 states/eV/cell. For the formation energy without anion corrections, the calculation gives 0.189 eV/atom. Its total magnetization is 0.0 Bohr magnetons per cell.

a = 2.902 Å, b = 2.902 Å, c = 7.794 Å
α = 90.00°, β = 90.00°, γ = 90.00°
Fractional positions:
Zn 0.000 0.000 0.000
Ir 0.000 0.000 0.450
Ir 0.500 0.500 0.211
Se 0.500 0.500 0.663



ZnIr2Se after structural relaxation. Source: Alexandria, functional GGA-PBE.

Calculated values
The calculation puts the relative energy among the computed polymorphs at 522.2 meV/atom. Its crystal system is tetragonal. The density of states at the Fermi level is 2.8 states/eV/cell. For the formation energy without anion corrections, the calculation gives 0.606 eV/atom. Its total magnetization is 0.0 Bohr magnetons per cell.

a = 6.628 Å, b = 6.628 Å, c = 6.628 Å
α = 128.94°, β = 128.94°, γ = 75.11°
Fractional positions:
Zn 0.000 0.000 0.000
Zn 0.750 0.250 0.500
Ir 0.144 0.625 0.019
Ir 0.375 0.394 0.519
Ir 0.606 0.125 0.981
Ir 0.875 0.856 0.481
Se 0.250 0.750 0.500
Se 0.500 0.500 0.000



ZnIrSe2 after structural relaxation. Source: Alexandria, functional GGA-PBE.

Calculated values
Its crystal system is trigonal. The density of states at the Fermi level is 2.8 states/eV/cell. For the formation energy without anion corrections, the calculation gives -0.090 eV/atom. Its total magnetization is 0.0 Bohr magnetons per cell.

a = 7.751 Å, b = 7.751 Å, c = 7.751 Å
α = 28.51°, β = 28.51°, γ = 28.51°
Fractional positions:
Zn 0.000 0.000 0.000
Ir 0.500 0.500 0.500
Se 0.112 0.112 0.112
Se 0.888 0.888 0.888



ZnIr2Se after structural relaxation. Source: Alexandria, functional GGA-PBE.

Calculated values
The calculation puts the relative energy among the computed polymorphs at 115.5 meV/atom. Its crystal system is orthorhombic. The density of states at the Fermi level is 1.9 states/eV/cell. For the formation energy without anion corrections, the calculation gives 0.199 eV/atom. Its total magnetization is 0.0 Bohr magnetons per cell.

a = 3.022 Å, b = 3.359 Å, c = 5.915 Å
α = 90.00°, β = 90.00°, γ = 90.00°
Fractional positions:
Zn 0.000 0.000 0.000
Ir 0.500 0.500 0.244
Ir 0.500 0.500 0.756
Se 0.000 0.000 0.500



Zn3IrSe after structural relaxation. Source: Alexandria, functional GGA-PBE.

Calculated values
The calculation puts the relative energy among the computed polymorphs at 620.8 meV/atom. Its crystal system is cubic. The density of states at the Fermi level is 2.9 states/eV/cell. For the formation energy without anion corrections, the calculation gives 1.002 eV/atom. Its total magnetization is 0.0 Bohr magnetons per cell.

a = 4.687 Å, b = 4.687 Å, c = 4.687 Å
α = 90.00°, β = 90.00°, γ = 90.00°
Fractional positions:
Zn 0.000 0.000 0.500
Zn 0.000 0.500 0.000
Zn 0.500 0.000 0.000
Ir 0.500 0.500 0.500
Se 0.000 0.000 0.000



ZnIrSe2 after structural relaxation. Source: Alexandria, functional GGA-PBE.

Calculated values
Its crystal system is monoclinic. The density of states at the Fermi level is 1.0 states/eV/cell. For the formation energy without anion corrections, the calculation gives -0.136 eV/atom. Its total magnetization is 0.0 Bohr magnetons per cell.

a = 4.938 Å, b = 3.726 Å, c = 5.080 Å
α = 90.00°, β = 114.74°, γ = 90.00°
Fractional positions:
Zn 0.000 0.000 0.000
Ir 0.000 0.000 0.500
Se 0.362 0.500 0.667
Se 0.638 0.500 0.333



ZnIr2Se after structural relaxation. Source: Alexandria, functional GGA-PBE.

Calculated values
The calculation puts the relative energy among the computed polymorphs at 228.3 meV/atom. Its crystal system is orthorhombic. The density of states at the Fermi level is 4.3 states/eV/cell. For the formation energy without anion corrections, the calculation gives 0.312 eV/atom. Its total magnetization is 0.0 Bohr magnetons per cell.

a = 2.874 Å, b = 4.433 Å, c = 4.879 Å
α = 90.00°, β = 90.00°, γ = 90.00°
Fractional positions:
Zn 0.000 0.000 0.000
Ir 0.000 0.500 0.500
Ir 0.500 0.500 0.000
Se 0.500 0.000 0.500



ZnIr2Se after structural relaxation. Source: Alexandria, functional GGA-PBE.

Calculated values
The calculation puts the relative energy among the computed polymorphs at 0.0 meV/atom. Its crystal system is monoclinic. The density of states at the Fermi level is 3.2 states/eV/cell. For the formation energy without anion corrections, the calculation gives 0.084 eV/atom. Its total magnetization is 0.0 Bohr magnetons per cell.

a = 2.737 Å, b = 3.603 Å, c = 7.285 Å
α = 90.00°, β = 90.11°, γ = 90.00°
Fractional positions:
Zn 0.000 0.000 0.000
Ir 0.002 0.000 0.389
Ir 0.501 0.500 0.184
Se 0.003 0.500 0.619



ZnIrSe2 after structural relaxation. Source: Alexandria, functional GGA-PBE.

Calculated values
Its crystal system is tetragonal. The density of states at the Fermi level is 4.5 states/eV/cell. For the formation energy without anion corrections, the calculation gives -0.067 eV/atom. Its total magnetization is 0.0 Bohr magnetons per cell.

a = 7.010 Å, b = 7.010 Å, c = 7.010 Å
α = 132.60°, β = 132.60°, γ = 69.29°
Fractional positions:
Zn 0.000 0.000 0.000
Zn 0.750 0.250 0.500
Ir 0.250 0.750 0.500
Ir 0.500 0.500 0.000
Se 0.139 0.625 0.014
Se 0.375 0.389 0.514
Se 0.611 0.125 0.986
Se 0.875 0.861 0.486